PBE with a Hubbard U UVO5, optimized geometry; offset from the most stable computed form = 31 meV per atom; calculated density = 6.5 g/cm³; space group = Pbcm (57); spin magnetization = 4.3 Bohr magnetons per cell; calculated volume = 378.34 Å³ per cell
1.0
4.1212 0.0000 0.0000
0.0000 7.2667 0.0000
0.0000 0.0000 12.6334
U O V
4 20 4
Cartesian
0.0326 1.8167 6.6651
4.0885 1.8167 0.3484
4.0885 5.4500 5.9683
0.0326 5.4500 12.2850
4.0645 3.2585 11.4258
2.0550 3.6333 9.4751
4.0645 6.8918 7.5243
4.0645 4.0082 7.5243
4.0645 0.3748 11.4258
2.0288 1.8167 0.3294
0.0567 6.8918 1.2076
0.0567 0.3748 5.1091
0.0567 4.0082 1.2076
2.0924 5.4500 12.3040
2.0662 0.0000 3.1584
0.0220 1.8167 2.4959
4.0992 5.4500 10.1375
4.0992 1.8167 8.8126
2.0924 1.8167 6.6461
2.0550 0.0000 9.4751
0.0567 3.2585 5.1091
2.0288 5.4500 5.9873
0.0220 5.4500 3.8208
2.0662 3.6333 3.1584
3.7073 0.0000 9.4751
3.7073 3.6333 9.4751
0.4139 0.0000 3.1584
0.4139 3.6333 3.1584